Record 1
Entry from the Alexandria database: Ta2BeAl after structural relaxation (PBE).

Computed properties:
ΔE to the lowest computed polymorph   151 meV/atom
Energy of formation from the pure elements   -0.0264 eV per atom

Cell: 3.7868 4.2456 7.5463 Å, 90.00 90.00 90.00°
Closest atoms and distances in Å follow each position.
Space group Cmm2 (No. 35)
Unique sites:
Ta (0.0000, 0.0000, 0.0000) [2 per cell]  4 Be 2.51-2.69
Ta (0.0000, 0.5000, 0.3201) [2 per cell]  4 Al 2.76-2.92, 6 Ta 2.84-3.07
Be (0.0000, 0.5000, 0.7808) [2 per cell]  4 Al 2.40-2.58, 2 Ta 2.51
Al (0.0000, 0.0000, 0.5862) [2 per cell]  4 Be 2.40-2.58

***

Record 2
Entry from the Alexandria database: TiPb2W after structural relaxation (PBE).

Computed properties:
ΔE to the lowest computed polymorph   249 meV/atom
Energy of formation from the pure elements   0.9481 eV per atom

Cell: 4.2099 4.2099 20.5445 Å, 90.00 90.00 90.00°
Closest atoms and distances in Å follow each position.
Space group I-42d (No. 122)
Unique sites:
Ti (0.0000, 0.0000, 0.0000) [4 per cell]  4 Pb 2.97, 4 W 2.98
Pb (0.2503, 0.2500, 0.1250) [8 per cell]  2 W 2.97, 2 Ti 2.97, 4 Pb 2.98
W (0.0000, 0.0000, 0.5000) [4 per cell]  4 Pb 2.97, 4 Ti 2.98

***

Record 3
Entry from the Alexandria database: LiU3Pa3S8 after structural relaxation (PBE).

Computed properties:
Energy relative to the elements, uncorrected   -1.486 eV per atom

Cell: 7.7298 7.7298 18.9097 Å, 90.00 90.00 120.00°
Closest atoms and distances in Å follow each position.
Space group R-3m (No. 166, hexagonal axes)
Unique sites:
Li (0.0000, 0.0000, 0.0000) [3 per cell]  6 S 2.69
U (0.0000, 0.5000, 0.0000) [9 per cell]  6 S 2.72-2.73
Pa (0.0000, 0.5000, 0.5000) [9 per cell]  6 S 2.74-2.75
S (0.0000, 0.0000, 0.2515) [6 per cell]  3 U 2.72, 3 Pa 2.75
S (0.0044, 0.5022, 0.7485) [18 per cell]  1 Li 2.69, 2 U 2.73, 2 Pa 2.74

***

We obtain total energy values of -62.6; -97.9; -358.7 eV for the cell shown for the records listed above, in that order.